(1)
{"formula": "NbCdIn3", "functional": "PBE", "state": "relaxed", "dos_at_fermi_per_ev_atom": 1.41, "sg": "No. 221", "ef_ev_per_atom": 1.13, "e_tot_ev_per_cell": -13.6, "lattice_angstrom": [[-3.1058, 4.1983, 1.2640], [-4.3569, -2.7821, -1.4651], [-0.4903, -1.8718, 5.0125]], "species": ["Cd", "In", "In", "In", "Nb"], "fractional_positions": [[0.0000, 0.0000, 0.0000], [0.5000, 0.0000, 0.0000], [0.0000, 0.0000, 0.5000], [0.0000, 0.5000, 0.0000], [0.5000, 0.5000, 0.5000]]}

=====

(2)
{"formula": "NbCd3In", "functional": "PBE", "state": "relaxed", "dos_at_fermi_per_ev_atom": 0.97, "sg": "No. 221", "ef_ev_per_atom": 0.89, "e_tot_ev_per_cell": -11.1, "lattice_angstrom": [[5.5535, 0.0000, 0.0000], [0.0000, 5.5535, 0.0000], [0.0000, 0.0000, 5.5535]], "species": ["Nb", "In", "Cd", "Cd", "Cd"], "fractional_positions": [[0.0000, 0.0000, 0.0000], [0.5000, 0.5000, 0.5000], [0.0000, 0.0000, 0.5000], [0.5000, 0.0000, 0.0000], [0.0000, 0.5000, 0.0000]]}

=====

(3)
{"formula": "Nb2CdIn", "functional": "PBE", "state": "relaxed", "dos_at_fermi_per_ev_atom": 0.74, "sg": "No. 122", "ef_ev_per_atom": 0.59, "e_tot_ev_per_cell": -42.9, "lattice_angstrom": [[7.7068, 0.0000, 0.0000], [0.0000, 7.7068, 0.0000], [3.8534, 3.8534, 2.8569]], "species": ["In", "In", "Nb", "Nb", "Nb", "Nb", "Cd", "Cd"], "fractional_positions": [[0.0000, 0.0000, 0.0000], [0.7500, 0.2500, 0.5000], [0.3750, 0.3748, 0.7500], [0.8750, 0.8752, 0.7500], [0.6252, 0.1250, 0.2500], [0.1248, 0.6250, 0.2500], [0.5000, 0.5000, 0.0000], [0.2500, 0.7500, 0.5000]]}

=====

(4)
{"formula": "NbCdIn2", "functional": "PBE", "state": "relaxed", "dos_at_fermi_per_ev_atom": 0.49, "sg": "No. 123", "ef_ev_per_atom": 0.14, "e_tot_ev_per_cell": -15.9, "lattice_angstrom": [[4.1674, 0.0000, 0.0000], [0.0000, 4.4672, 0.0000], [0.0000, 0.0000, 4.4672]], "species": ["In", "In", "Cd", "Nb"], "fractional_positions": [[0.0000, 0.0000, 0.5000], [0.0000, 0.5000, 0.0000], [0.5000, 0.0000, 0.0000], [0.5000, 0.5000, 0.5000]]}

=====

(5)
{"formula": "NbCd3In", "functional": "PBE", "state": "relaxed", "dos_at_fermi_per_ev_atom": 0.66, "sg": "No. 221", "ef_ev_per_atom": 1.27, "e_tot_ev_per_cell": -9.2, "lattice_angstrom": [[-0.8320, -0.9504, 5.0446], [5.1142, -0.5950, 0.7314], [0.4435, 5.0781, 1.0299]], "species": ["Cd", "Cd", "Cd", "In", "Nb"], "fractional_positions": [[0.5000, 0.0000, 0.0000], [0.0000, 0.0000, 0.5000], [0.0000, 0.5000, 0.0000], [0.0000, 0.0000, 0.0000], [0.5000, 0.5000, 0.5000]]}

=====

(6)
{"formula": "NbCd2InO6", "functional": "PBE", "state": "relaxed", "sg": "No. 99", "e_tot_ev_per_cell": -59.4, "lattice_angstrom": [[-2.7782, 1.9274, -3.7522], [-4.3598, 0.1553, 3.3078], [1.3776, 5.0581, 1.5782]], "species": ["O", "O", "O", "O", "O", "O", "Nb", "In", "Cd", "Cd"], "fractional_positions": [[0.7257, 0.7585, 0.7585], [0.7257, 0.2415, 0.2415], [0.7257, 0.2415, 0.7585], [0.2297, 0.0000, 0.0000], [0.1661, 0.5000, 0.5000], [0.7257, 0.7585, 0.2415], [0.5938, 0.0000, 0.0000], [0.5710, 0.5000, 0.5000], [0.9918, 0.0000, 0.5000], [0.9918, 0.5000, 0.0000]]}

=====

(7)
{"formula": "RbNbCdIn2", "functional": "PBE", "state": "relaxed", "dos_at_fermi_per_ev_atom": 2.07, "sg": "No. 123", "ef_ev_per_atom": 1.93, "e_tot_ev_per_cell": -7.8, "lattice_angstrom": [[-4.7431, -3.1734, -0.8305], [1.2720, -0.4734, -5.4554], [3.0096, -4.7907, 1.1175]], "species": ["Cd", "Rb", "Nb", "In", "In"], "fractional_positions": [[0.0000, 0.5000, 0.0000], [0.0000, 0.0000, 0.0000], [0.5000, 0.5000, 0.5000], [0.5000, 0.0000, 0.0000], [0.0000, 0.0000, 0.5000]]}

=====

(8)
{"formula": "NbCdInRe2", "functional": "PBE", "state": "relaxed", "dos_at_fermi_per_ev_atom": 1.00, "sg": "No. 123", "ef_ev_per_atom": 1.82, "e_tot_ev_per_cell": -29.5, "lattice_angstrom": [[4.8246, 0.0000, 0.0000], [0.0000, 5.4351, 0.0000], [0.0000, 0.0000, 4.8246]], "species": ["Nb", "In", "Re", "Re", "Cd"], "fractional_positions": [[0.0000, 0.0000, 0.0000], [0.5000, 0.5000, 0.5000], [0.0000, 0.0000, 0.5000], [0.5000, 0.0000, 0.0000], [0.0000, 0.5000, 0.0000]]}

=====

(9)
{"formula": "Ta2NbCdIn", "functional": "PBE", "state": "relaxed", "dos_at_fermi_per_ev_atom": 0.27, "sg": "No. 123", "ef_ev_per_atom": 1.84, "e_tot_ev_per_cell": -28.2, "lattice_angstrom": [[4.9698, 0.0000, 0.0000], [0.0000, 4.9905, 0.0000], [0.0000, 0.0000, 4.9698]], "species": ["Ta", "Ta", "Nb", "Cd", "In"], "fractional_positions": [[0.0000, 0.0000, 0.5000], [0.5000, 0.0000, 0.0000], [0.0000, 0.5000, 0.0000], [0.0000, 0.0000, 0.0000], [0.5000, 0.5000, 0.5000]]}

=====

(10)
{"formula": "NbVCd2In", "functional": "PBE", "state": "relaxed", "dos_at_fermi_per_ev_atom": 1.71, "sg": "No. 123", "ef_ev_per_atom": 1.36, "e_tot_ev_per_cell": -16.9, "lattice_angstrom": [[4.9662, 0.0000, 0.0000], [0.0000, 4.9647, 0.0000], [0.0000, 0.0000, 4.9662]], "species": ["Nb", "In", "V", "Cd", "Cd"], "fractional_positions": [[0.5000, 0.5000, 0.5000], [0.0000, 0.5000, 0.0000], [0.0000, 0.0000, 0.0000], [0.0000, 0.0000, 0.5000], [0.5000, 0.0000, 0.0000]]}

=====

(11)
{"formula": "NdCd4In2", "functional": "PBE", "state": "relaxed", "dos_at_fermi_per_ev_atom": 0.41, "sg": "No. 65", "ef_ev_per_atom": -0.16, "e_tot_ev_per_cell": -15.0, "lattice_angstrom": [[4.5141, 0.0000, 0.0000], [0.0000, 4.5751, 0.0000], [0.0000, -2.2876, 8.4588]], "species": ["Nd", "Cd", "Cd", "Cd", "Cd", "In", "In"], "fractional_positions": [[0.0000, 0.0000, 0.0000], [0.0000, 0.6898, 0.3796], [0.5000, 0.1849, 0.3699], [0.0000, 0.3102, 0.6204], [0.5000, 0.8151, 0.6301], [0.5000, 0.5811, 0.1623], [0.5000, 0.4189, 0.8377]]}

=====

(12)
{"formula": "Nd9CdIn2", "functional": "PBE", "state": "relaxed", "dos_at_fermi_per_ev_atom": 1.63, "sg": "No. 123", "ef_ev_per_atom": -0.22, "e_tot_ev_per_cell": -51.9, "lattice_angstrom": [[-4.5941, -0.6490, -1.8432], [-1.4616, -1.9843, 4.3417], [-3.8739, 13.5454, 4.8864]], "species": ["Nd", "Nd", "Nd", "Nd", "Nd", "Nd", "Nd", "Nd", "Nd", "In", "In", "Cd"], "fractional_positions": [[0.5000, 0.0000, 0.5000], [0.0000, 0.5000, 0.1668], [0.5000, 0.5000, 0.6687], [0.5000, 0.5000, 0.3313], [0.0000, 0.5000, 0.8332], [0.5000, 0.0000, 0.8332], [0.5000, 0.5000, 0.0000], [0.5000, 0.0000, 0.1668], [0.0000, 0.5000, 0.5000], [0.0000, 0.0000, 0.6666], [0.0000, 0.0000, 0.3334], [0.0000, 0.0000, 0.0000]]}